Here is PrCoPO after structural relaxation from the Open Quantum Materials Database. Energies are from GGA+U.

Lattice parameters (Å, degrees): 4.369 6.208 5.916 90.00 90.00 90.00
Space group Pmc2_1 (No. 26)
Asymmetric unit:
Pr 0.000 0.238 0.000 (multiplicity 2)
Co 0.500 0.357 0.601 (multiplicity 2)
P 0.000 0.232 0.500 (multiplicity 2)
O 0.500 0.358 0.949 (multiplicity 2)

Output
Calculated volume ... 160 Å³/cell
Density ... 5108 kg/m3
Uncorrected energy ... -0.235 Ha/atom
Polymorph energy (0 for the lowest one) ... 353 meV per atom